1.
Computed, not measured: a relaxed structure of CsPtC2 at the PBE level of DFT.

Results
* ΔE_f: 2906 meV/atom

Lattice parameters (Å, degrees): 6.3653 6.3653 6.3653 90.00 90.00 90.00
Space group Fm-3m (No. 225)
One atom of each set of equivalent atoms:
Cs: 0.0000 0.0000 0.0000 x4
Pt: 0.0000 0.0000 0.5000 x4
C: 0.2500 0.2500 0.2500 x8


2.
Computed, not measured: a relaxed structure of Nd5Pa3N8 at the PBE level of DFT.

Results
* formation energy from raw total energies: -1.545 eV per atom

Lattice parameters (Å, degrees): 7.1751 7.1751 17.6170 90.00 90.00 120.00
Space group R-3m (No. 166, hexagonal axes)
One atom of each set of equivalent atoms:
Nd: 0.0000 0.0000 0.0000 x3
Nd: 0.0000 0.0000 0.5000 x3
Nd: 0.0000 0.5000 0.0000 x9
Pa: 0.0000 0.5000 0.5000 x9
N: 0.0000 0.0000 0.2375 x6
N: 0.0210 0.5105 0.7606 x18


Sequential M_tot output: 0.00; 0.00 μB/f.u.